Material: RbMnP2Au
Method: DFT, PBE
State: relaxed

The structure belongs to space group P4/mmm (No. 123); the cell edges are 5.0548, 5.0548 and 5.0833 Å and the angles 90.00°, 90.00° and 90.00°. Symmetry generates all atoms from Rb at (0.0000, 0.0000, 0.0000), Mn at (0.5000, 0.5000, 0.0000), P at (0.0000, 0.5000, 0.5000) and Au at (0.5000, 0.5000, 0.5000).

As for the raw total energy: -0.155 hartree per atom. The energy of formation from the pure elements comes out at 0.633 eV/atom.